[1]
Na2Zn3Si2O8, relaxed, DFT GGA-PBE; crystal system = triclinic; space group = No. 1
1.0
5.125 0.000 0.000
0.152 8.806 0.000
2.425 4.056 12.537
O Zn Na Si
24 9 6 6
direct
0.301 0.209 0.148
0.510 0.807 0.436
0.928 0.086 0.848
0.570 0.607 0.311
0.811 0.674 0.826
0.369 0.494 0.519
0.073 0.146 0.638
0.287 0.641 0.966
0.761 0.096 0.093
0.359 0.006 0.025
0.888 0.465 0.715
0.396 0.246 0.741
0.537 0.311 0.943
0.102 0.703 0.379
0.575 0.156 0.492
0.147 0.598 0.172
0.430 0.614 0.729
0.026 0.034 0.421
0.038 0.341 0.392
0.728 0.226 0.286
0.342 0.935 0.770
0.828 0.472 0.073
0.883 0.782 0.615
0.852 0.781 0.033
0.931 0.249 0.147
0.002 0.998 0.999
0.278 0.464 0.670
0.610 0.515 0.962
0.190 0.717 0.821
0.693 0.268 0.809
0.867 0.819 0.461
0.937 0.561 0.317
0.268 0.289 0.502
0.715 0.019 0.641
0.591 0.876 0.905
0.476 0.782 0.157
0.408 0.036 0.307
0.430 0.407 0.234
0.278 0.928 0.557
0.479 0.156 0.052
0.839 0.188 0.398
0.755 0.635 0.717
0.028 0.624 0.064
0.395 0.652 0.413
0.185 0.102 0.748

[2]
Na2ZnSi2O6, relaxed, DFT GGA-PBE; crystal system = orthorhombic; space group = No. 43
1.0
0.000 -3.551 -3.682
0.000 -3.551 3.682
-10.663 3.551 0.000
Si O Na Zn
4 12 4 2
direct
0.598 0.145 0.166
0.855 0.402 0.834
0.682 0.729 0.334
0.271 0.318 0.666
0.893 0.614 0.967
0.603 0.824 0.467
0.386 0.107 0.033
0.176 0.397 0.533
0.837 0.090 0.841
0.582 0.462 0.734
0.246 0.999 0.659
0.001 0.754 0.341
0.538 0.418 0.266
0.099 0.478 0.766
0.910 0.163 0.159
0.522 0.901 0.234
0.219 0.166 0.345
0.834 0.781 0.655
0.428 0.876 0.845
0.124 0.572 0.155
0.253 0.747 0.500
0.003 0.997 0.000

[3]
Na2ZnSiO4, relaxed, DFT GGA-PBE; crystal system = monoclinic; space group = No. 7
1.0
-5.331 4.196 -1.693
0.237 -1.774 -5.141
-3.397 -3.836 1.167
O Na Zn Si
8 4 2 2
direct
0.726 0.606 0.425
0.557 0.161 0.424
0.776 0.294 0.819
0.276 0.706 0.319
0.226 0.394 0.925
0.947 0.208 0.372
0.447 0.792 0.872
0.057 0.839 0.924
0.753 0.681 0.993
0.999 0.815 0.495
0.499 0.185 0.995
0.253 0.319 0.493
0.503 0.812 0.504
0.003 0.188 0.004
0.251 0.685 0.008
0.751 0.315 0.508

[4]
NaZrSi2O6, relaxed, DFT GGA-PBE; total magnetization = 2.00 Bohr magnetons per cell; crystal system = monoclinic; space group = No. 15
1.0
1.853 3.253 5.656
-4.100 -3.330 4.256
3.936 -3.451 -0.509
O Na Si Zr
12 2 4 2
direct
0.629 0.665 0.990
0.774 0.963 0.836
0.884 0.381 0.170
0.335 0.371 0.510
0.037 0.226 0.664
0.226 0.037 0.164
0.665 0.629 0.490
0.116 0.619 0.830
0.371 0.335 0.010
0.963 0.774 0.336
0.381 0.884 0.670
0.619 0.116 0.330
0.313 0.687 0.250
0.687 0.313 0.750
0.204 0.390 0.751
0.610 0.796 0.749
0.796 0.610 0.249
0.390 0.204 0.251
0.086 0.914 0.750
0.914 0.086 0.250

[5]
Na2SmO2, relaxed, DFT GGA-PBE; total magnetization = 0.01 Bohr magnetons per cell; crystal system = monoclinic; space group = No. 14
1.0
-6.505 -3.074 -5.252
-0.656 -5.253 3.887
-3.931 3.349 3.862
Na Sm O
8 4 8
direct
0.212 0.397 0.178
0.212 0.103 0.678
0.514 0.760 0.409
0.486 0.240 0.591
0.486 0.260 0.091
0.788 0.603 0.822
0.514 0.740 0.909
0.788 0.897 0.322
0.146 0.589 0.684
0.854 0.089 0.816
0.146 0.911 0.184
0.854 0.411 0.316
0.699 0.884 0.650
0.058 0.872 0.834
0.942 0.372 0.666
0.942 0.128 0.166
0.301 0.384 0.850
0.301 0.116 0.350
0.699 0.616 0.150
0.058 0.628 0.334

[6]
Na2Sm2O3, relaxed, DFT GGA-PBE; total magnetization = 0.00 Bohr magnetons per cell; crystal system = monoclinic; space group = No. 14
1.0
-3.981 -2.504 4.602
-0.619 -5.063 -3.290
7.020 -1.084 0.348
Sm Na O
4 4 6
direct
0.143 0.646 0.886
0.143 0.854 0.386
0.857 0.354 0.114
0.857 0.146 0.614
0.388 0.154 0.121
0.612 0.654 0.379
0.612 0.846 0.879
0.388 0.346 0.621
0.200 0.549 0.228
0.200 0.951 0.728
0.500 0.000 0.500
0.500 0.500 0.000
0.800 0.049 0.272
0.800 0.451 0.772

no.,total energy (eV per atom),theoretical density (g/cm3),volume (Å³/f.u.)
1,-5.892,3.75,188.62
2,-6.372,3.14,139.40
3,-5.782,3.38,100.00
4,-7.724,3.81,116.12
5,-5.304,4.04,93.96
6,-5.988,5.35,122.57